First-principles (PBE-GGA) data for an optimized crystal structure of Er2HfUP4, as listed in the Alexandria database.

Values from the calculation:
- calculated volume (Å³ per atom) = 20.68
- E_form (eV per atom) = -1.362

Structure (CIF):
```
data_Er2HfUP4
_chemical_formula_sum 'Er2 Hf1 U1 P4'
_symmetry_space_group_name_H-M 'P 1 2/m 1'
_symmetry_Int_Tables_number 10
_symmetry_space_group_name_Hall '-P 2y'
_cell_length_a 6.702
_cell_length_b 3.875
_cell_length_c 6.745
_cell_angle_alpha 90.00
_cell_angle_beta 109.17
_cell_angle_gamma 90.00
loop_
_atom_site_label
_atom_site_type_symbol
_atom_site_fract_x
_atom_site_fract_y
_atom_site_fract_z
_atom_site_occupancy
Er1 Er 0.000 0.000 0.000 1
Er2 Er 0.500 0.500 0.000 1
Hf1 Hf 0.000 0.500 0.500 1
U1 U 0.500 0.000 0.500 1
P1 P 0.240 0.000 0.737 1
P2 P 0.246 0.500 0.258 1
```


First-principles (PBE-GGA) data for an optimized crystal structure of Y2ErHfP4, as listed in the Alexandria database.

Values from the calculation:
- calculated volume (Å³ per atom) = 21.17
- E_form (eV per atom) = -1.541

Structure (CIF):
```
data_Y2ErHfP4
_chemical_formula_sum 'Y2 Er1 Hf1 P4'
_symmetry_space_group_name_H-M 'P 1 2/m 1'
_symmetry_Int_Tables_number 10
_symmetry_space_group_name_Hall '-P 2y'
_cell_length_a 6.775
_cell_length_b 3.906
_cell_length_c 6.780
_cell_angle_alpha 90.00
_cell_angle_beta 109.25
_cell_angle_gamma 90.00
loop_
_atom_site_label
_atom_site_type_symbol
_atom_site_fract_x
_atom_site_fract_y
_atom_site_fract_z
_atom_site_occupancy
Y1 Y 0.000 0.000 0.000 1
Y2 Y 0.500 0.500 0.000 1
Er1 Er 0.000 0.500 0.500 1
Hf1 Hf 0.500 0.000 0.500 1
P1 P 0.255 0.000 0.740 1
P2 P 0.263 0.500 0.265 1
```


First-principles (PBE-GGA) data for an optimized crystal structure of YEr2HfP4, as listed in the Alexandria database.

Values from the calculation:
- calculated volume (Å³ per atom) = 20.99
- E_form (eV per atom) = -1.534

Structure (CIF):
```
data_YEr2HfP4
_chemical_formula_sum 'Y1 Er2 Hf1 P4'
_symmetry_space_group_name_H-M 'P 1 2/m 1'
_symmetry_Int_Tables_number 10
_symmetry_space_group_name_Hall '-P 2y'
_cell_length_a 6.755
_cell_length_b 3.896
_cell_length_c 6.759
_cell_angle_alpha 90.00
_cell_angle_beta 109.25
_cell_angle_gamma 90.00
loop_
_atom_site_label
_atom_site_type_symbol
_atom_site_fract_x
_atom_site_fract_y
_atom_site_fract_z
_atom_site_occupancy
Y1 Y 0.000 0.000 0.000 1
Er1 Er 0.500 0.000 0.500 1
Er2 Er 0.500 0.500 0.000 1
Hf1 Hf 0.000 0.500 0.500 1
P1 P 0.239 0.000 0.737 1
P2 P 0.246 0.500 0.258 1
```


First-principles (PBE-GGA) data for an optimized crystal structure of Er2HfZrP4, as listed in the Alexandria database.

Values from the calculation:
- calculated volume (Å³ per atom) = 19.92
- E_form (eV per atom) = -1.465

Structure (CIF):
```
data_Er2HfZrP4
_chemical_formula_sum 'Er2 Hf1 Zr1 P4'
_symmetry_space_group_name_H-M 'P 1 2/m 1'
_symmetry_Int_Tables_number 10
_symmetry_space_group_name_Hall '-P 2y'
_cell_length_a 6.616
_cell_length_b 3.815
_cell_length_c 6.690
_cell_angle_alpha 90.00
_cell_angle_beta 109.30
_cell_angle_gamma 90.00
loop_
_atom_site_label
_atom_site_type_symbol
_atom_site_fract_x
_atom_site_fract_y
_atom_site_fract_z
_atom_site_occupancy
Er1 Er 0.000 0.000 0.000 1
Er2 Er 0.500 0.500 0.000 1
Hf1 Hf 0.000 0.500 0.500 1
Zr1 Zr 0.500 0.000 0.500 1
P1 P 0.243 0.000 0.736 1
P2 P 0.252 0.500 0.263 1
```


First-principles (PBE-GGA) data for an optimized crystal structure of ErHf2ZrP4, as listed in the Alexandria database.

Values from the calculation:
- calculated volume (Å³ per atom) = 18.96
- E_form (eV per atom) = -1.358

Structure (CIF):
```
data_ErHf2ZrP4
_chemical_formula_sum 'Er1 Hf2 Zr1 P4'
_symmetry_space_group_name_H-M 'P 1 2/m 1'
_symmetry_Int_Tables_number 10
_symmetry_space_group_name_Hall '-P 2y'
_cell_length_a 6.535
_cell_length_b 3.762
_cell_length_c 6.538
_cell_angle_alpha 90.00
_cell_angle_beta 109.33
_cell_angle_gamma 90.00
loop_
_atom_site_label
_atom_site_type_symbol
_atom_site_fract_x
_atom_site_fract_y
_atom_site_fract_z
_atom_site_occupancy
Er1 Er 0.000 0.000 0.000 1
Hf1 Hf 0.000 0.500 0.500 1
Hf2 Hf 0.500 0.000 0.500 1
Zr1 Zr 0.500 0.500 0.000 1
P1 P 0.251 0.000 0.742 1
P2 P 0.258 0.500 0.261 1
```


First-principles (PBE-GGA) data for an optimized crystal structure of ErHfPa2, as listed in the Alexandria database.

Values from the calculation:
- calculated volume (Å³ per atom) = 25.67
- E_form (eV per atom) = 0.425

Structure (CIF):
```
data_ErHfPa2
_chemical_formula_sum 'Er4 Hf4 Pa8'
_symmetry_space_group_name_H-M 'F m -3 m'
_symmetry_Int_Tables_number 225
_symmetry_space_group_name_Hall '-F 4 2 3'
_cell_length_a 7.433
_cell_length_b 7.433
_cell_length_c 7.433
_cell_angle_alpha 90.00
_cell_angle_beta 90.00
_cell_angle_gamma 90.00
loop_
_atom_site_label
_atom_site_type_symbol
_atom_site_fract_x
_atom_site_fract_y
_atom_site_fract_z
_atom_site_occupancy
Er1 Er 0.000 0.000 0.000 1
Hf1 Hf 0.000 0.000 0.500 1
Pa1 Pa 0.250 0.250 0.250 1
```